[1]
Sm6Te3As2Pt | PBE-GGA | relaxed

Cell lengths 9.7592, 9.7592, 8.7890 Å; angles 103.97, 103.97, 25.23 degrees
Last column: nearest neighbours and their distance in Å.
Element x y z (fractional)
Sm 0.0056 0.0056 0.2266  2 Pt 2.90, 1 As 2.99, 3 Te 3.22-3.23
Sm 0.3273 0.3273 0.4325  3 As 2.93-2.96, 3 Te 3.17-3.20
Sm 0.3389 0.3389 0.9007  2 As 2.96, 1 Pt 2.98, 3 Te 3.16-3.20
Sm 0.6611 0.6611 0.0993  2 As 2.96, 1 Pt 2.98, 3 Te 3.16-3.20
Sm 0.6727 0.6727 0.5675  3 As 2.93-2.96, 3 Te 3.17-3.20
Sm 0.9944 0.9944 0.7734  2 Pt 2.90, 1 As 2.99, 3 Te 3.22-3.23
Te 0.1683 0.1683 0.8321  6 Sm 3.16-3.22
Te 0.5000 0.5000 0.5000  6 Sm 3.20-3.23
Te 0.8317 0.8317 0.1679  6 Sm 3.16-3.22
As 0.1671 0.1671 0.3352  6 Sm 2.93-2.99
As 0.8329 0.8329 0.6648  6 Sm 2.93-2.99
Pt 0.5000 0.5000 0.0000  6 Sm 2.90-2.98

Calculated values
N(E_F)	6.41	states/eV per cell
E	-70.3	eV for the cell shown
magnetic moment	0.0	Bohr magnetons per cell
formation energy without anion corrections	-17.19	eV per formula unit



[2]
Pm2Np3N8 | PBE-GGA | relaxed

Cell lengths 6.9114, 6.9114, 10.2683 Å; angles 90.00, 90.00, 120.00 degrees
Last column: nearest neighbours and their distance in Å.
Element x y z (fractional)
Pm 0.3333 0.6667 0.0000  6 N 2.45-2.46
Pm 0.3333 0.6667 0.3499  4 N 2.36-2.60
Pm 0.6667 0.3333 0.5000  6 N 2.45-2.46
Pm 0.6667 0.3333 0.8499  4 N 2.36-2.60
Np 0.1660 0.3320 0.7101  6 N 2.13-2.28
Np 0.1660 0.8340 0.7101  6 N 2.13-2.28
Np 0.3320 0.1660 0.2101  6 N 2.13-2.28
Np 0.6680 0.8340 0.7101  6 N 2.13-2.28
Np 0.8340 0.1660 0.2101  6 N 2.13-2.28
Np 0.8340 0.6680 0.2101  6 N 2.13-2.28
N 0.0000 0.0000 0.2999  3 Np 2.19
N 0.0000 0.0000 0.7999  3 Np 2.19
N 0.0576 0.5288 0.8217  2 Np 2.18, 1 Pm 2.36
N 0.1625 0.3249 0.1311  2 Np 2.13
N 0.1625 0.8375 0.1311  2 Np 2.13
N 0.3249 0.1625 0.6311  2 Np 2.13
N 0.3333 0.6667 0.6031  3 Np 2.28
N 0.4712 0.5288 0.8217  2 Np 2.18, 1 Pm 2.36
N 0.4712 0.9424 0.8217  2 Np 2.18, 1 Pm 2.36
N 0.5288 0.0576 0.3217  2 Np 2.18, 1 Pm 2.36
N 0.5288 0.4712 0.3217  2 Np 2.18, 1 Pm 2.36
N 0.6667 0.3333 0.1031  3 Np 2.28
N 0.6751 0.8375 0.1311  2 Np 2.13
N 0.8375 0.1625 0.6311  2 Np 2.13
N 0.8375 0.6751 0.6311  2 Np 2.13
N 0.9424 0.4712 0.3217  2 Np 2.18, 1 Pm 2.36

Calculated values
N(E_F)	22.55	states/eV per cell
E	-257.3	eV for the cell shown
magnetic moment	6.0	Bohr magnetons per cell
formation energy without anion corrections	-13.74	eV per formula unit



[3]
Ac2La7Dy2 | PBE-GGA | relaxed

Cell lengths 8.3984, 8.3984, 6.3001 Å; angles 104.74, 104.74, 91.06 degrees
Last column: nearest neighbours and their distance in Å.
Element x y z (fractional)
Ac 0.2225 0.2225 0.1040  7 La 3.58-3.84, 2 Dy 3.67
Ac 0.7775 0.7775 0.8960  7 La 3.58-3.84, 2 Dy 3.67
La 0.0000 0.0000 0.5000  4 La 3.39, 2 Ac 3.75
La 0.0422 0.5904 0.3236  2 La 3.20-3.39, 2 Dy 3.47-3.58, 1 Ac 3.58
La 0.4096 0.9578 0.6764  2 La 3.20-3.39, 2 Dy 3.47-3.58, 1 Ac 3.58
La 0.4278 0.4278 0.7000  4 La 3.51-3.91, 2 Ac 3.65-3.84, 2 Dy 3.71
La 0.5722 0.5722 0.3000  4 La 3.51-3.91, 2 Ac 3.65-3.84, 2 Dy 3.71
La 0.5904 0.0422 0.3236  2 La 3.20-3.39, 2 Dy 3.47-3.58, 1 Ac 3.58
La 0.9578 0.4096 0.6764  2 La 3.20-3.39, 2 Dy 3.47-3.58, 1 Ac 3.58
Dy 0.2277 0.7723 0.0000  6 La 3.47-3.71, 2 Ac 3.67
Dy 0.7723 0.2277 0.0000  6 La 3.47-3.71, 2 Ac 3.67

Calculated values
formation energy	0.128	eV/atom
energy above the lowest structure with this stoichiometry	0	meV/atom
N(E_F)	16.85	states/eV per cell
E	-50.5	eV for the cell shown
magnetic moment	0.0	Bohr magnetons per cell



[4]
Er3B2Rh5 | PBE-GGA | relaxed

Cell lengths 9.7747, 9.7747, 3.2381 Å; angles 90.00, 90.00, 90.00 degrees
Last column: nearest neighbours and their distance in Å.
Element x y z (fractional)
Er 0.0000 0.0000 0.0000  8 Rh 2.85
Er 0.1743 0.3257 0.0000  3 B 2.82-2.94, 10 Rh 2.90-3.05
Er 0.3257 0.8257 0.0000  3 B 2.82-2.94, 10 Rh 2.90-3.05
Er 0.5000 0.5000 0.0000  8 Rh 2.85
Er 0.6743 0.1743 0.0000  3 B 2.82-2.94, 10 Rh 2.90-3.05
Er 0.8257 0.6743 0.0000  3 B 2.82-2.94, 10 Rh 2.90-3.05
B 0.1214 0.6214 0.0000  6 Rh 2.23-2.33
B 0.3786 0.1214 0.0000  6 Rh 2.23-2.33
B 0.6214 0.8786 0.0000  6 Rh 2.23-2.33
B 0.8786 0.3786 0.0000  6 Rh 2.23-2.33
Rh 0.0000 0.5000 0.5000  4 B 2.33
Rh 0.0715 0.7703 0.5000  2 B 2.23
Rh 0.2297 0.0715 0.5000  2 B 2.23
Rh 0.2703 0.5715 0.5000  2 B 2.23
Rh 0.4285 0.2703 0.5000  2 B 2.23
Rh 0.5000 0.0000 0.5000  4 B 2.33
Rh 0.5715 0.7297 0.5000  2 B 2.23
Rh 0.7297 0.4285 0.5000  2 B 2.23
Rh 0.7703 0.9285 0.5000  2 B 2.23
Rh 0.9285 0.2297 0.5000  2 B 2.23

Calculated values
formation energy	-0.835	eV/atom
N(E_F)	7.56	states/eV per cell
E	-144.3	eV for the cell shown
magnetic moment	0.0	Bohr magnetons per cell



Repeat the third record exactly.
Ac2La7Dy2 | PBE-GGA | relaxed

Cell lengths 8.3984, 8.3984, 6.3001 Å; angles 104.74, 104.74, 91.06 degrees
Last column: nearest neighbours and their distance in Å.
Element x y z (fractional)
Ac 0.2225 0.2225 0.1040  7 La 3.58-3.84, 2 Dy 3.67
Ac 0.7775 0.7775 0.8960  7 La 3.58-3.84, 2 Dy 3.67
La 0.0000 0.0000 0.5000  4 La 3.39, 2 Ac 3.75
La 0.0422 0.5904 0.3236  2 La 3.20-3.39, 2 Dy 3.47-3.58, 1 Ac 3.58
La 0.4096 0.9578 0.6764  2 La 3.20-3.39, 2 Dy 3.47-3.58, 1 Ac 3.58
La 0.4278 0.4278 0.7000  4 La 3.51-3.91, 2 Ac 3.65-3.84, 2 Dy 3.71
La 0.5722 0.5722 0.3000  4 La 3.51-3.91, 2 Ac 3.65-3.84, 2 Dy 3.71
La 0.5904 0.0422 0.3236  2 La 3.20-3.39, 2 Dy 3.47-3.58, 1 Ac 3.58
La 0.9578 0.4096 0.6764  2 La 3.20-3.39, 2 Dy 3.47-3.58, 1 Ac 3.58
Dy 0.2277 0.7723 0.0000  6 La 3.47-3.71, 2 Ac 3.67
Dy 0.7723 0.2277 0.0000  6 La 3.47-3.71, 2 Ac 3.67

Calculated values
formation energy	0.128	eV/atom
energy above the lowest structure with this stoichiometry	0	meV/atom
N(E_F)	16.85	states/eV per cell
E	-50.5	eV for the cell shown
magnetic moment	0.0	Bohr magnetons per cell



Which formula does entry 2 have?
Pm2Np3N8



Number 3 is which compound?
Ac2La7Dy2



Please write out number 1 again, unchanged.
Sm6Te3As2Pt | PBE-GGA | relaxed

Cell lengths 9.7592, 9.7592, 8.7890 Å; angles 103.97, 103.97, 25.23 degrees
Last column: nearest neighbours and their distance in Å.
Element x y z (fractional)
Sm 0.0056 0.0056 0.2266  2 Pt 2.90, 1 As 2.99, 3 Te 3.22-3.23
Sm 0.3273 0.3273 0.4325  3 As 2.93-2.96, 3 Te 3.17-3.20
Sm 0.3389 0.3389 0.9007  2 As 2.96, 1 Pt 2.98, 3 Te 3.16-3.20
Sm 0.6611 0.6611 0.0993  2 As 2.96, 1 Pt 2.98, 3 Te 3.16-3.20
Sm 0.6727 0.6727 0.5675  3 As 2.93-2.96, 3 Te 3.17-3.20
Sm 0.9944 0.9944 0.7734  2 Pt 2.90, 1 As 2.99, 3 Te 3.22-3.23
Te 0.1683 0.1683 0.8321  6 Sm 3.16-3.22
Te 0.5000 0.5000 0.5000  6 Sm 3.20-3.23
Te 0.8317 0.8317 0.1679  6 Sm 3.16-3.22
As 0.1671 0.1671 0.3352  6 Sm 2.93-2.99
As 0.8329 0.8329 0.6648  6 Sm 2.93-2.99
Pt 0.5000 0.5000 0.0000  6 Sm 2.90-2.98

Calculated values
N(E_F)	6.41	states/eV per cell
E	-70.3	eV for the cell shown
magnetic moment	0.0	Bohr magnetons per cell
formation energy without anion corrections	-17.19	eV per formula unit